Model A:
The following is a DFT calculation (meta-GGA SCAN) of AlTeAu2 at its PBEsol-relaxed geometry.

Cell lengths 3.185, 4.139, 12.351 Å; angles 90.00, 90.00, 90.00 degrees
Fractional coordinates of all 8 atoms:
Al: 0.000 0.000 0.000
Al: 0.500 0.500 0.500
Te: 0.000 0.500 0.297
Te: 0.500 0.000 0.797
Au: 0.000 0.000 0.511
Au: 0.000 0.500 0.671
Au: 0.500 0.000 0.171
Au: 0.500 0.500 0.011

* SG: Imm2, No. 44
* M_tot: 0.00 Bohr magnetons per cell


Model B:
The following is a DFT calculation (meta-GGA SCAN) of AlTeAu2 at its PBEsol-relaxed geometry.

Cell lengths 6.816, 6.816, 6.816 Å; angles 90.00, 90.00, 90.00 degrees
Fractional coordinates of all 16 atoms:
Al: 0.000 0.000 0.000
Al: 0.000 0.500 0.500
Al: 0.500 0.000 0.500
Al: 0.500 0.500 0.000
Te: 0.250 0.250 0.250
Te: 0.250 0.750 0.750
Te: 0.750 0.250 0.750
Te: 0.750 0.750 0.250
Au: 0.000 0.000 0.500
Au: 0.000 0.500 0.000
Au: 0.250 0.250 0.750
Au: 0.250 0.750 0.250
Au: 0.500 0.000 0.000
Au: 0.500 0.500 0.500
Au: 0.750 0.250 0.250
Au: 0.750 0.750 0.750

* SG: F-43m, No. 216
* M_tot: 0.00 Bohr magnetons per cell


Ranked by calculated energy, most stable first: model A, model B.


Model A:
The following is a DFT calculation (meta-GGA SCAN) of Al2TlAu at its PBEsol-relaxed geometry.

Cell lengths 2.882, 5.568, 10.018 Å; angles 90.00, 90.00, 90.00 degrees
Fractional coordinates of all 8 atoms:
Al: 0.000 0.000 0.224
Al: 0.000 0.000 0.776
Al: 0.500 0.500 0.276
Al: 0.500 0.500 0.724
Tl: 0.000 0.500 0.000
Tl: 0.500 0.000 0.500
Au: 0.000 0.500 0.500
Au: 0.500 0.000 0.000

* SG: Immm, No. 71
* M_tot: 0.00 Bohr magnetons per cell


Model B:
The following is a DFT calculation (meta-GGA SCAN) of Al2TlAu at its PBEsol-relaxed geometry.

Cell lengths 5.961, 8.019, 3.190 Å; angles 90.00, 90.00, 90.00 degrees
Fractional coordinates of all 8 atoms:
Al: 0.250 0.250 0.000
Al: 0.250 0.750 0.000
Al: 0.750 0.250 0.000
Al: 0.750 0.750 0.000
Tl: 0.000 0.000 0.500
Tl: 0.500 0.500 0.500
Au: 0.000 0.500 0.500
Au: 0.500 0.000 0.500

* SG: Cmmm, No. 65
* M_tot: 0.00 Bohr magnetons per cell


Ranked by calculated energy, most stable first: model A, model B.


Model A:
The following is a DFT calculation (meta-GGA SCAN) of AlCuB3 at its PBEsol-relaxed geometry.

Cell lengths 3.851, 3.851, 3.851 Å; angles 90.00, 90.00, 90.00 degrees
Fractional coordinates of all 5 atoms:
Al: 0.000 0.000 0.000
Cu: 0.500 0.500 0.500
B: 0.000 0.500 0.500
B: 0.500 0.000 0.500
B: 0.500 0.500 0.000

* SG: Pm-3m, No. 221
* M_tot: 0.00 Bohr magnetons per cell


Model B:
The following is a DFT calculation (meta-GGA SCAN) of AlCuB3 at its PBEsol-relaxed geometry.

Cell lengths 4.065, 4.065, 4.065 Å; angles 90.00, 90.00, 90.00 degrees
Fractional coordinates of all 5 atoms:
Al: 0.000 0.000 0.000
Cu: 0.500 0.500 0.500
B: 0.000 0.000 0.500
B: 0.000 0.500 0.000
B: 0.500 0.000 0.000

* SG: Pm-3m, No. 221
* M_tot: 0.00 Bohr magnetons per cell


Ranked by calculated energy, most stable first: model A, model B.


Model A:
The following is a DFT calculation (meta-GGA SCAN) of AlFe3B at its PBEsol-relaxed geometry.

Cell lengths 3.767, 3.767, 3.767 Å; angles 90.00, 90.00, 90.00 degrees
Fractional coordinates of all 5 atoms:
Al: 0.000 0.000 0.000
Fe: 0.000 0.500 0.500
Fe: 0.500 0.000 0.500
Fe: 0.500 0.500 0.000
B: 0.500 0.500 0.500

* SG: Pm-3m, No. 221
* M_tot: 4.44 Bohr magnetons per cell


Model B:
The following is a DFT calculation (meta-GGA SCAN) of AlFe3B at its PBEsol-relaxed geometry.

Cell lengths 4.166, 4.166, 4.166 Å; angles 90.00, 90.00, 90.00 degrees
Fractional coordinates of all 5 atoms:
Al: 0.000 0.000 0.000
Fe: 0.000 0.000 0.500
Fe: 0.000 0.500 0.000
Fe: 0.500 0.000 0.000
B: 0.500 0.500 0.500

* SG: Pm-3m, No. 221
* M_tot: 7.60 Bohr magnetons per cell


Ranked by calculated energy, most stable first: model A, model B.


Model A:
The following is a DFT calculation (meta-GGA SCAN) of AlB3Pd at its PBEsol-relaxed geometry.

Cell lengths 4.073, 4.073, 4.073 Å; angles 90.00, 90.00, 90.00 degrees
Fractional coordinates of all 5 atoms:
Al: 0.000 0.000 0.000
B: 0.000 0.500 0.500
B: 0.500 0.000 0.500
B: 0.500 0.500 0.000
Pd: 0.500 0.500 0.500

* SG: Pm-3m, No. 221
* M_tot: 0.00 Bohr magnetons per cell


Model B:
The following is a DFT calculation (meta-GGA SCAN) of AlB3Pd at its PBEsol-relaxed geometry.

Cell lengths 4.046, 4.046, 4.046 Å; angles 90.00, 90.00, 90.00 degrees
Fractional coordinates of all 5 atoms:
Al: 0.000 0.000 0.000
B: 0.000 0.000 0.500
B: 0.000 0.500 0.000
B: 0.500 0.000 0.000
Pd: 0.500 0.500 0.500

* SG: Pm-3m, No. 221
* M_tot: 0.00 Bohr magnetons per cell


Ranked by calculated energy, most stable first: model A, model B.


Model A:
The following is a DFT calculation (meta-GGA SCAN) of Ba4Al5 at its PBEsol-relaxed geometry.

Cell lengths 6.022, 6.022, 17.685 Å; angles 90.00, 90.00, 120.00 degrees
Fractional coordinates of all 18 atoms:
Ba: 0.000 0.000 0.142
Ba: 0.000 0.000 0.358
Ba: 0.000 0.000 0.642
Ba: 0.000 0.000 0.858
Ba: 0.333 0.667 0.071
Ba: 0.333 0.667 0.429
Ba: 0.667 0.333 0.571
Ba: 0.667 0.333 0.929
Al: 0.017 0.508 0.250
Al: 0.333 0.667 0.635
Al: 0.333 0.667 0.865
Al: 0.492 0.508 0.250
Al: 0.492 0.983 0.250
Al: 0.508 0.017 0.750
Al: 0.508 0.492 0.750
Al: 0.667 0.333 0.135
Al: 0.667 0.333 0.365
Al: 0.983 0.492 0.750

* SG: P6_3/mmc, No. 194
* M_tot: 0.77 Bohr magnetons per cell


Model B:
The following is a DFT calculation (meta-GGA SCAN) of Ba4Al5 at its PBEsol-relaxed geometry.

Cell lengths 8.956, 8.956, 8.956 Å; angles 93.31, 93.31, 152.18 degrees
Fractional coordinates of all 9 atoms:
Ba: 0.000 0.288 0.288
Ba: 0.000 0.712 0.712
Ba: 0.288 0.000 0.288
Ba: 0.712 0.000 0.712
Al: 0.000 0.000 0.000
Al: 0.390 0.390 0.780
Al: 0.390 0.610 0.000
Al: 0.610 0.390 0.000
Al: 0.610 0.610 0.220

* SG: I4/mmm, No. 139
* M_tot: 0.00 Bohr magnetons per cell


Ranked by calculated energy, most stable first: model A, model B.


Model A:
The following is a DFT calculation (meta-GGA SCAN) of BaAlBr2 at its PBEsol-relaxed geometry.

Cell lengths 9.762, 4.299, 6.306 Å; angles 90.00, 99.96, 90.00 degrees
Fractional coordinates of all 8 atoms:
Ba: 0.000 0.000 0.000
Ba: 0.500 0.500 0.000
Al: 0.000 0.500 0.500
Al: 0.500 0.000 0.500
Br: 0.224 0.500 0.246
Br: 0.276 0.000 0.754
Br: 0.724 0.000 0.246
Br: 0.776 0.500 0.754

* SG: C2/m, No. 12
* M_tot: 0.00 Bohr magnetons per cell


Model B:
The following is a DFT calculation (meta-GGA SCAN) of BaAlBr2 at its PBEsol-relaxed geometry.

Cell lengths 5.125, 5.125, 4.366 Å; angles 90.00, 90.00, 90.00 degrees
Fractional coordinates of all 4 atoms:
Ba: 0.000 0.000 0.000
Al: 0.500 0.500 0.000
Br: 0.000 0.500 0.500
Br: 0.500 0.000 0.500

* SG: P4/mmm, No. 123
* M_tot: 0.00 Bohr magnetons per cell


Ranked by calculated energy, most stable first: model A, model B.


Model A:
The following is a DFT calculation (meta-GGA SCAN) of BaAlBr at its PBEsol-relaxed geometry.

Cell lengths 4.041, 4.041, 7.243 Å; angles 90.00, 90.00, 120.00 degrees
Fractional coordinates of all 3 atoms:
Ba: 0.000 0.000 0.000
Al: 0.667 0.333 0.351
Br: 0.333 0.667 0.689

* SG: P3m1, No. 156
* M_tot: 0.71 Bohr magnetons per cell


Model B:
The following is a DFT calculation (meta-GGA SCAN) of BaAlBr at its PBEsol-relaxed geometry.

Cell lengths 4.444, 4.444, 10.389 Å; angles 90.00, 90.00, 90.00 degrees
Fractional coordinates of all 6 atoms:
Ba: 0.000 0.000 0.000
Ba: 0.500 0.500 0.500
Al: 0.000 0.000 0.663
Al: 0.500 0.500 0.163
Br: 0.000 0.000 0.404
Br: 0.500 0.500 0.904

* SG: I4mm, No. 107
* M_tot: 0.06 Bohr magnetons per cell


Ranked by calculated energy, most stable first: model B, model A.